Entry 1:
Al2V6Co, relaxed, DFT PBE-GGA; Fermi-level density of states = 1.32 states/eV/atom; VASP energy = -7.724 eV/atom; spin magnetization = 1.61 μB/f.u.; space group = C2/m, No. 12; ΔH_f (0 K) = -2.33 kJ per mole of atoms
1.0
6.388 -3.754 0.000
6.388 3.754 0.000
-0.162 0.000 2.528
Al V Co
2 6 1
Cartesian
2.143 0.000 0.014
10.471 0.000 2.514
6.307 2.474 1.264
4.202 1.242 1.561
8.412 1.242 0.968
4.202 -1.242 1.561
8.412 -1.242 0.968
6.307 -2.474 1.264
6.388 0.000 0.000

***

Entry 2:
Al2VCo, relaxed, DFT PBE-GGA; Fermi-level density of states = 0.32 states/eV/atom; VASP energy = -6.217 eV/atom; spin magnetization = 2.62 μB/f.u.; space group = Fm-3m, No. 225; ΔH_f (0 K) = -27.94 kJ per mole of atoms
1.0
0.000 2.978 2.978
2.978 0.000 2.978
2.978 2.978 0.000
Al V Co
2 1 1
Cartesian
1.489 1.489 1.489
4.467 4.467 4.467
0.000 0.000 0.000
2.978 2.978 2.978

***

Entry 3:
AlVCo5, relaxed, DFT PBE-GGA; Fermi-level density of states = 1.02 states/eV/atom; VASP energy = -6.822 eV/atom; spin magnetization = 3.69 μB/f.u.; space group = P4/mmm, No. 123; ΔH_f (0 K) = 8.76 kJ per mole of atoms
1.0
3.919 0.000 0.000
0.000 3.919 0.000
0.000 0.000 5.547
Al V Co
1 1 5
Cartesian
0.000 0.000 0.000
1.960 1.960 2.773
0.000 1.960 1.470
0.000 1.960 4.077
1.960 0.000 1.470
1.960 0.000 4.077
1.960 1.960 0.000

***

Entry 4:
AlVCo4, relaxed, DFT PBE-GGA; Fermi-level density of states = 1.37 states/eV/atom; VASP energy = -6.841 eV/atom; spin magnetization = 2.96 μB/f.u.; excess energy over the best structure of this formula in the dataset = 0.165 eV/atom; space group = C2/m, No. 12; ΔH_f (0 K) = 3.85 kJ per mole of atoms
1.0
4.025 -1.275 0.000
4.025 1.275 0.000
-3.776 0.000 6.990
Al V Co
1 1 4
Cartesian
0.000 0.000 0.000
2.137 0.000 3.495
-0.029 0.000 2.430
2.205 0.000 1.113
2.070 0.000 5.876
4.304 0.000 4.560